Here is a relaxed structure of GaRe3Ni from Alexandria. Energies are from GGA-PBE.

Cell: 4.431 4.431 4.431 Å, 90.00 90.00 90.00°
Fractional positions:
Ga (0.000, 0.000, 0.000)
Re (0.000, 0.500, 0.500)
Re (0.500, 0.000, 0.500)
Re (0.500, 0.500, 0.000)
Ni (0.500, 0.500, 0.500)

Calculated values
**Space-group type**: No. 221
**Energy of formation**: 8.793 eV/f.u.
**Volume**: 17.40 A^3/atom
**Raw total energy**: -7.47 eV per atom